FeMo after structural relaxation, computed with PBE-GGA. Values from VASP.

energy relative to the elements: 1.49 eV/atom
space group: F-43m
ρ: 6.8 g cm⁻³

```
&SYSTEM
  ibrav = 0, nat = 2, ntyp = 2
/
ATOMIC_SPECIES
Mo 95.94 Mo.upf
Fe 55.84 Fe.upf
ATOMIC_POSITIONS crystal
Mo 0.7500 0.7500 0.7500
Fe 0.0000 0.0000 0.0000
CELL_PARAMETERS angstrom
-3.7316 -0.2037 -0.2925
-1.7657 -3.2209 0.7485
-2.1077 -0.3092 3.0844
```



SrErTlPb after structural relaxation, computed with PBE-GGA. Values from VASP.

energy relative to the elements: -0.35 eV/atom
space group: F-43m
ρ: 9.0 g cm⁻³

```
&SYSTEM
  ibrav = 0, nat = 4, ntyp = 4
/
ATOMIC_SPECIES
Er 167.26 Er.upf
Sr 87.62 Sr.upf
Pb 207.20 Pb.upf
Tl 204.38 Tl.upf
ATOMIC_POSITIONS crystal
Er 0.2500 0.2500 0.2500
Sr 0.7500 0.7500 0.7500
Pb 0.5000 0.5000 0.5000
Tl 0.0000 0.0000 0.0000
CELL_PARAMETERS angstrom
5.5815 0.0000 0.0000
2.7908 4.8337 0.0000
2.7908 1.6112 4.5573
```



Ba2ReAs after structural relaxation, computed with PBE-GGA. Values from VASP.

energy relative to the elements: 0.58 eV/atom
space group: Cmmm
ρ: 7.6 g cm⁻³

```
&SYSTEM
  ibrav = 0, nat = 4, ntyp = 3
/
ATOMIC_SPECIES
Re 186.21 Re.upf
Ba 137.33 Ba.upf
As 74.92 As.upf
ATOMIC_POSITIONS crystal
Re 0.5000 0.0000 0.5000
Ba 0.5000 0.5000 0.0000
Ba 0.0000 0.0000 0.0000
As 0.0000 0.5000 0.5000
CELL_PARAMETERS angstrom
-4.6044 -3.4987 0.9452
3.4639 -3.3051 -3.3781
1.5609 -1.2827 2.8555
```



LiHo2Mn after structural relaxation, computed with PBE-GGA. Values from VASP.

energy relative to the elements: 0.36 eV/atom
space group: R-3m
excess energy over the best structure of this formula in the dataset: 255 meV per atom
ρ: 6.3 g cm⁻³

```
&SYSTEM
  ibrav = 0, nat = 4, ntyp = 3
/
ATOMIC_SPECIES
Mn 54.94 Mn.upf
Ho 164.93 Ho.upf
Li 6.94 Li.upf
ATOMIC_POSITIONS crystal
Mn 0.5000 0.5000 0.5000
Ho 0.9025 0.9025 0.2926
Ho 0.0975 0.0975 0.7074
Li 0.0000 0.0000 0.0000
CELL_PARAMETERS angstrom
-1.5113 -2.9479 -0.1902
0.5296 -2.2901 2.3421
-8.7028 2.1782 6.4484
```



GeRh2Pb after structural relaxation, computed with PBE-GGA. Values from VASP.

energy relative to the elements: -0.23 eV/atom
space group: R3m
excess energy over the best structure of this formula in the dataset: 0 meV per atom
ρ: 10.8 g cm⁻³

```
&SYSTEM
  ibrav = 0, nat = 4, ntyp = 3
/
ATOMIC_SPECIES
Pb 207.20 Pb.upf
Ge 72.64 Ge.upf
Rh 102.91 Rh.upf
ATOMIC_POSITIONS crystal
Pb 0.4966 0.4966 0.5103
Ge 0.6713 0.6713 0.9860
Rh 0.2730 0.2730 0.1809
Rh 0.0591 0.0591 0.8228
CELL_PARAMETERS angstrom
3.9257 0.0000 0.0000
1.9629 3.3998 0.0000
1.9629 1.1333 5.5722
```



NbHRh3 after structural relaxation, computed with PBE-GGA. Values from VASP.

space group: P6_3/mmc
excess energy over the best structure of this formula in the dataset: 0 meV per atom
ρ: 10.8 g cm⁻³

```
&SYSTEM
  ibrav = 0, nat = 10, ntyp = 3
/
ATOMIC_SPECIES
Rh 102.91 Rh.upf
H 1.01 H.upf
Nb 92.91 Nb.upf
ATOMIC_POSITIONS crystal
Rh 0.7667 0.9217 0.4824
Rh 0.9361 0.2604 0.9824
Rh 0.4280 0.2604 0.9824
Rh 0.2587 0.9217 0.4824
Rh 0.4280 0.7524 0.9824
Rh 0.7667 0.4298 0.4824
H 0.5972 0.0914 0.2329
H 0.5976 0.0911 0.7329
Nb 0.2640 0.4244 0.4824
Nb 0.9307 0.7578 0.9824
CELL_PARAMETERS angstrom
-4.7282 3.0557 0.0098
1.5080 -2.8672 4.6043
2.3103 3.5703 1.4664
```



Number 1: VASP energy -8.153 eV/atom. Number 2: VASP energy -3.427 eV/atom. Number 3: VASP energy -4.656 eV/atom. Number 4: VASP energy -4.700 eV/atom. Number 5: VASP energy -5.986 eV/atom. Number 6: VASP energy -7.512 eV/atom.